LiDyCuSn | PBE-GGA | optimized geometry Values from VASP.

Calculated values
Crystal system = cubic

The structure in Quantum ESPRESSO input format:
```
&SYSTEM
  ibrav = 0, nat = 4, ntyp = 4
/
ATOMIC_SPECIES
Li 6.94 Li.upf
Dy 162.50 Dy.upf
Cu 63.55 Cu.upf
Sn 118.71 Sn.upf
CELL_PARAMETERS angstrom
0.000 3.333 3.333
3.333 0.000 3.333
3.333 3.333 0.000
ATOMIC_POSITIONS crystal
Li 0.000 0.000 0.000
Dy 0.750 0.750 0.750
Cu 0.500 0.500 0.500
Sn 0.250 0.250 0.250
```

LiDyThCu | PBE-GGA | optimized geometry Values from VASP.

Calculated values
Crystal system = cubic

The structure in Quantum ESPRESSO input format:
```
&SYSTEM
  ibrav = 0, nat = 4, ntyp = 4
/
ATOMIC_SPECIES
Li 6.94 Li.upf
Dy 162.50 Dy.upf
Th 232.04 Th.upf
Cu 63.55 Cu.upf
CELL_PARAMETERS angstrom
0.000 3.592 3.592
3.592 0.000 3.592
3.592 3.592 0.000
ATOMIC_POSITIONS crystal
Li 0.000 0.000 0.000
Dy 0.750 0.750 0.750
Th 0.250 0.250 0.250
Cu 0.500 0.500 0.500
```

LiDyTlCu | PBE-GGA | optimized geometry Values from VASP.

Calculated values
Crystal system = cubic

The structure in Quantum ESPRESSO input format:
```
&SYSTEM
  ibrav = 0, nat = 4, ntyp = 4
/
ATOMIC_SPECIES
Li 6.94 Li.upf
Dy 162.50 Dy.upf
Tl 204.38 Tl.upf
Cu 63.55 Cu.upf
CELL_PARAMETERS angstrom
0.000 3.359 3.359
3.359 0.000 3.359
3.359 3.359 0.000
ATOMIC_POSITIONS crystal
Li 0.000 0.000 0.000
Dy 0.250 0.250 0.250
Tl 0.750 0.750 0.750
Cu 0.500 0.500 0.500
```

LiDyYCu | PBE-GGA | optimized geometry Values from VASP.

Calculated values
Crystal system = cubic

The structure in Quantum ESPRESSO input format:
```
&SYSTEM
  ibrav = 0, nat = 4, ntyp = 4
/
ATOMIC_SPECIES
Li 6.94 Li.upf
Dy 162.50 Dy.upf
Y 88.91 Y.upf
Cu 63.55 Cu.upf
CELL_PARAMETERS angstrom
0.000 3.558 3.558
3.558 0.000 3.558
3.558 3.558 0.000
ATOMIC_POSITIONS crystal
Li 0.000 0.000 0.000
Dy 0.250 0.250 0.250
Y 0.750 0.750 0.750
Cu 0.500 0.500 0.500
```

LiDyZn6Cu | PBE-GGA | optimized geometry Values from VASP.

Calculated values
Crystal system = orthorhombic

The structure in Quantum ESPRESSO input format:
```
&SYSTEM
  ibrav = 0, nat = 18, ntyp = 4
/
ATOMIC_SPECIES
Li 6.94 Li.upf
Dy 162.50 Dy.upf
Zn 65.41 Zn.upf
Cu 63.55 Cu.upf
CELL_PARAMETERS angstrom
-3.417 4.352 5.404
3.417 -4.352 5.404
3.417 4.352 -5.404
ATOMIC_POSITIONS crystal
Li 0.500 0.000 0.000
Li 0.500 0.500 0.500
Dy 0.049 0.299 0.750
Dy 0.951 0.701 0.250
Zn 0.114 0.315 0.180
Zn 0.114 0.934 0.799
Zn 0.257 0.007 0.250
Zn 0.326 0.576 0.750
Zn 0.364 0.066 0.680
Zn 0.364 0.685 0.299
Zn 0.636 0.315 0.701
Zn 0.636 0.934 0.320
Zn 0.674 0.424 0.250
Zn 0.743 0.993 0.750
Zn 0.886 0.066 0.201
Zn 0.886 0.685 0.820
Cu 0.000 0.500 0.500
Cu 0.500 0.500 0.000
```

DyLu2Cu | PBE-GGA | optimized geometry Values from VASP.

Calculated values
Crystal system = tetragonal
Relative energy among the computed polymorphs = 0.00 eV/f.u.

The structure in Quantum ESPRESSO input format:
```
&SYSTEM
  ibrav = 0, nat = 4, ntyp = 3
/
ATOMIC_SPECIES
Dy 162.50 Dy.upf
Lu 174.97 Lu.upf
Cu 63.55 Cu.upf
CELL_PARAMETERS angstrom
3.415 0.000 0.000
0.000 3.415 0.000
0.000 0.000 8.604
ATOMIC_POSITIONS crystal
Dy 0.000 0.000 0.000
Lu 0.500 0.500 0.304
Lu 0.500 0.500 0.696
Cu 0.000 0.000 0.500
```

The records above give, respectively, mass density values of 7.88, 8.33, 9.58, 5.93, 6.46, 9.53 g/cm3.
The records above give, respectively, energy of formation values of -407, 85, -254, -40, -21, -119 meV/atom.